First-principles (PBE-GGA) data for a relaxed structure of AsPtCl2, as listed in the Alexandria database.

a = 3.6382 Å, b = 4.2964 Å, c = 15.7708 Å
α = 90.00°, β = 90.00°, γ = 90.00°
Closest atoms and distances in Å follow each position.
Space group Imm2 (No. 44)
Inequivalent atoms, fractional coordinates:
1 As 0.0000 0.0000 0.0000 [2 per cell]  2 Pt 2.35, 2 Cl 2.46
2 Pt 0.0000 0.5000 0.4058 [2 per cell]  2 As 2.35, 2 Cl 2.46
3 Cl 0.0000 0.0000 0.8012 [2 per cell]  2 Pt 2.46
4 Cl 0.0000 0.5000 0.0756 [2 per cell]  2 As 2.46

First-principles (PBE-GGA) data for a relaxed structure of AsPtCl2, as listed in the Alexandria database.

a = 2.9716 Å, b = 2.9716 Å, c = 8.5898 Å
α = 90.00°, β = 90.00°, γ = 90.00°
Closest atoms and distances in Å follow each position.
Space group P4/mmm (No. 123)
Inequivalent atoms, fractional coordinates:
1 As 0.0000 0.0000 0.0000 [1 per cell]  4 As 2.97, 8 Cl 3.20
2 Pt 0.0000 0.0000 0.5000 [1 per cell]  8 Cl 2.82, 4 Pt 2.97
3 Cl 0.5000 0.5000 0.2809 [2 per cell]  4 Pt 2.82, 4 Cl 2.97

Looking at density of states at the Fermi level for the records above, in order, we have 1.5; 5.5 states/eV/cell.
Looking at raw formation energy for the records above, in order, we have -0.33; 0.67 eV per atom.